# 1
Material: K2Cu
Method: DFT, PBE
State: optimized geometry

abc: 5.8188 5.8188 3.9009
angles: 90.00 90.00 90.00
With the nearest neighbours (Å) after each atom.
Sites, in units of the cell vectors:
Cu (0.0000, 0.0000, 0.0000)  8 K 3.50, 2 Cu 3.90
K (0.5000, 0.0000, 0.5000)  4 Cu 3.50, 2 K 3.90
K (0.0000, 0.5000, 0.5000)  4 Cu 3.50, 2 K 3.90

Properties
polymorph energy (0 for the lowest one) = 23 meV/atom
total energy = -5.29 eV per cell
D(E_F) = 1.735 states/eV/cell
size of the total moment = 0.00 μB/cell



# 2
Material: Pm2PrCdO
Method: DFT, PBE
State: optimized geometry

abc: 5.0352 4.9479 4.9479
angles: 90.00 90.00 90.00
With the nearest neighbours (Å) after each atom.
Sites, in units of the cell vectors:
Pr (0.5000, 0.0000, 0.0000)  2 O 2.52
Pm (0.0000, 0.5000, 0.0000)  2 O 2.47
Pm (0.0000, 0.0000, 0.5000)  2 O 2.47
Cd (0.5000, 0.5000, 0.5000)  4 Pr 3.50, 8 Pm 3.53
O (0.0000, 0.0000, 0.0000)  4 Pm 2.47, 2 Pr 2.52

Properties
ΔE_f (raw) = -6.42 eV/f.u.
total energy = -26.57 eV per cell
D(E_F) = 3.697 states/eV/cell
size of the total moment = 0.00 μB/cell



# 3
Material: HoAlPdAu
Method: DFT, PBE
State: optimized geometry

abc: 4.7474 4.7474 4.7474
angles: 60.00 60.00 60.00
With the nearest neighbours (Å) after each atom.
Sites, in units of the cell vectors:
Pd (0.2500, 0.2500, 0.2500)  4 Ho 2.91, 4 Al 2.91
Au (0.7500, 0.7500, 0.7500)  4 Ho 2.91, 4 Al 2.91
Al (0.5000, 0.5000, 0.5000)  4 Pd 2.91, 4 Au 2.91
Ho (0.0000, 0.0000, 0.0000)  4 Au 2.91, 4 Pd 2.91

Properties
total energy = -19.87 eV per cell
D(E_F) = 2.304 states/eV/cell
size of the total moment = 0.00 μB/cell



# 4
Material: Ac2Ni4Sb3Au
Method: DFT, PBE
State: optimized geometry

abc: 4.5466 4.5466 10.1654
angles: 90.00 90.00 90.00
With the nearest neighbours (Å) after each atom.
Sites, in units of the cell vectors:
Ni (0.5000, 0.5000, 0.0000)  4 Sb 2.60
Ni (0.5000, 0.0000, 0.6237)  3 Sb 2.55-2.60, 2 Au 2.60
Ni (0.0000, 0.0000, 0.0000)  4 Sb 2.60
Ni (0.0000, 0.5000, 0.3763)  3 Sb 2.55-2.60, 2 Au 2.60
Sb (0.5000, 0.0000, 0.8749)  5 Ni 2.55-2.60
Sb (0.0000, 0.5000, 0.1251)  5 Ni 2.55-2.60
Sb (0.0000, 0.0000, 0.5000)  4 Ni 2.60
Au (0.5000, 0.5000, 0.5000)  4 Ni 2.60
Ac (0.0000, 0.5000, 0.7554)  8 Ni 3.37-3.48, 7 Sb 3.44-3.76, 2 Au 3.45
Ac (0.5000, 0.0000, 0.2446)  8 Ni 3.37-3.48, 7 Sb 3.44-3.76, 2 Au 3.45

Properties
ΔE_f (raw) = -6.28 eV/f.u.
total energy = -53.26 eV per cell
D(E_F) = 6.739 states/eV/cell
size of the total moment = 0.00 μB/cell



# 5
Material: NiPbSCl2
Method: DFT, PBE
State: optimized geometry

abc: 5.4122 5.4122 5.2654
angles: 90.00 90.00 90.00
With the nearest neighbours (Å) after each atom.
Sites, in units of the cell vectors:
Pb (0.0000, 0.0000, 0.0000)  2 S 2.63, 4 Cl 2.71
Ni (0.5000, 0.5000, 0.5000)  8 Cl 3.78, 4 S 3.83
Cl (0.0000, 0.5000, 0.0000)  2 Pb 2.71
Cl (0.5000, 0.0000, 0.0000)  2 Pb 2.71
S (0.0000, 0.0000, 0.5000)  2 Pb 2.63

Properties
ΔE_f (raw) = 2.00 eV/f.u.
polymorph energy (0 for the lowest one) = 839 meV/atom
total energy = -15.31 eV per cell
D(E_F) = 6.455 states/eV/cell
size of the total moment = 1.19 μB/cell



# 6
Material: HfNb2Tl
Method: DFT, PBE
State: optimized geometry

abc: 7.7890 7.7890 6.2168
angles: 51.21 51.21 90.00
With the nearest neighbours (Å) after each atom.
Sites, in units of the cell vectors:
Nb (0.8750, 0.8785, 0.7500)  2 Tl 2.83, 2 Hf 2.87, 2 Nb 2.88
Nb (0.1215, 0.6250, 0.2500)  2 Tl 2.83, 2 Hf 2.87, 2 Nb 2.88
Nb (0.3750, 0.3715, 0.7500)  2 Tl 2.83, 2 Hf 2.87, 2 Nb 2.88
Nb (0.6285, 0.1250, 0.2500)  2 Tl 2.83, 2 Hf 2.87, 2 Nb 2.88
Hf (0.5000, 0.5000, 0.0000)  4 Nb 2.87, 2 Tl 2.88
Hf (0.2500, 0.7500, 0.5000)  4 Nb 2.87, 2 Tl 2.88
Tl (0.0000, 0.0000, 0.0000)  4 Nb 2.83, 2 Hf 2.88
Tl (0.7500, 0.2500, 0.5000)  4 Nb 2.83, 2 Hf 2.88

Properties
polymorph energy (0 for the lowest one) = 615 meV/atom
total energy = -58.94 eV per cell
D(E_F) = 7.882 states/eV/cell
size of the total moment = 0.00 μB/cell



# 7
Material: AcLuCdAg
Method: DFT, PBE
State: optimized geometry

abc: 5.4308 5.4308 5.4308
angles: 60.00 60.00 60.00
With the nearest neighbours (Å) after each atom.
Sites, in units of the cell vectors:
Cd (0.7500, 0.7500, 0.7500)  4 Lu 3.33, 4 Ac 3.33
Ac (0.0000, 0.0000, 0.0000)  4 Ag 3.33, 4 Cd 3.33
Ag (0.2500, 0.2500, 0.2500)  4 Ac 3.33, 4 Lu 3.33
Lu (0.5000, 0.5000, 0.5000)  4 Cd 3.33, 4 Ag 3.33

Properties
total energy = -13.30 eV per cell
D(E_F) = 2.324 states/eV/cell
size of the total moment = 0.00 μB/cell



# 8
Material: CeTlCdIn
Method: DFT, PBE
State: optimized geometry

abc: 4.6492 4.7681 4.7783
angles: 90.00 90.00 90.00
With the nearest neighbours (Å) after each atom.
Sites, in units of the cell vectors:
Cd (0.0000, 0.0000, 0.0000)  4 In 3.33, 4 Tl 3.33, 4 Ce 3.38
Tl (0.5000, 0.0000, 0.5000)  4 Ce 3.33, 4 Cd 3.33, 4 In 3.38
Ce (0.0000, 0.5000, 0.5000)  4 Tl 3.33, 4 In 3.33, 4 Cd 3.38
In (0.5000, 0.5000, 0.0000)  4 Cd 3.33, 4 Ce 3.33, 4 Tl 3.38

Properties
polymorph energy (0 for the lowest one) = 0 meV/atom
total energy = -13.01 eV per cell
D(E_F) = 7.796 states/eV/cell
size of the total moment = 1.01 μB/cell



# 9
Material: ErTm4Mg7
Method: DFT, PBE
State: optimized geometry

abc: 5.2645 5.2645 13.0776
angles: 90.00 90.00 120.00
With the nearest neighbours (Å) after each atom.
Sites, in units of the cell vectors:
Mg (0.3333, 0.6667, 0.4177)  1 Mg 3.09, 4 Tm 3.18-3.21, 3 Er 3.22
Mg (0.0000, 0.0000, 0.2384)  4 Mg 3.12-3.13, 3 Tm 3.31, 1 Er 3.42
Mg (0.6667, 0.3333, 0.5823)  1 Mg 3.09, 4 Tm 3.18-3.21, 3 Er 3.22
Mg (0.6667, 0.3333, 0.8190)  4 Mg 3.09-3.13, 4 Tm 3.33-3.38
Mg (0.0000, 0.0000, 0.7616)  4 Mg 3.12-3.13, 3 Tm 3.31, 1 Er 3.42
Mg (0.0000, 0.0000, 0.0000)  2 Mg 3.12, 6 Tm 3.20
Mg (0.3333, 0.6667, 0.1810)  4 Mg 3.09-3.13, 4 Tm 3.33-3.38
Tm (0.3333, 0.6667, 0.6610)  7 Mg 3.18-3.31, 1 Tm 3.42
Tm (0.3333, 0.6667, 0.9226)  7 Mg 3.20-3.38, 1 Tm 3.42
Tm (0.6667, 0.3333, 0.3390)  7 Mg 3.18-3.31, 1 Tm 3.42
Tm (0.6667, 0.3333, 0.0774)  7 Mg 3.20-3.38, 1 Tm 3.42
Er (0.0000, 0.0000, 0.5000)  8 Mg 3.22-3.42

Properties
polymorph energy (0 for the lowest one) = 0 meV/atom
total energy = -33.74 eV per cell
D(E_F) = 11.676 states/eV/cell
size of the total moment = 0.00 μB/cell



# 10
Material: Ba5Bi2I2
Method: DFT, PBE
State: optimized geometry

abc: 9.7115 9.5847 10.1039
angles: 118.31 90.00 90.00
With the nearest neighbours (Å) after each atom.
Sites, in units of the cell vectors:
Ba (0.3532, 0.7214, 0.7451)  3 Bi 3.51-3.71, 3 I 3.72-3.93
Ba (0.6468, 0.2786, 0.2549)  3 Bi 3.51-3.71, 3 I 3.72-3.93
Ba (0.8532, 0.5237, 0.7451)  3 Bi 3.51-3.71, 3 I 3.72-3.93
Ba (0.0000, 0.0000, 0.0000)  2 I 3.51, 4 Bi 3.64-3.66
Ba (0.1468, 0.4763, 0.2549)  3 Bi 3.51-3.71, 3 I 3.72-3.93
Ba (0.1468, 0.2214, 0.7451)  3 Bi 3.51-3.71, 3 I 3.72-3.93
Ba (0.5000, 0.5000, 0.0000)  2 I 3.51, 4 Bi 3.64-3.66
Ba (0.8532, 0.7786, 0.2549)  3 Bi 3.51-3.71, 3 I 3.72-3.93
Ba (0.3532, 0.9763, 0.2549)  3 Bi 3.51-3.71, 3 I 3.72-3.93
Ba (0.6468, 0.0237, 0.7451)  3 Bi 3.51-3.71, 3 I 3.72-3.93
Bi (0.1548, 0.6545, 0.0000)  8 Ba 3.51-3.71
Bi (0.8452, 0.3455, 0.0000)  8 Ba 3.51-3.71
Bi (0.6548, 0.8455, 0.0000)  8 Ba 3.51-3.71
Bi (0.3452, 0.1545, 0.0000)  8 Ba 3.51-3.71
I (0.0000, 0.8027, 0.6054)  7 Ba 3.51-3.93
I (0.0000, 0.1973, 0.3946)  7 Ba 3.51-3.93
I (0.5000, 0.6973, 0.3946)  7 Ba 3.51-3.93
I (0.5000, 0.3027, 0.6054)  7 Ba 3.51-3.93

Properties
ΔE_f (raw) = -9.64 eV/f.u.
total energy = -60.24 eV per cell
D(E_F) = 13.505 states/eV/cell
size of the total moment = 3.05 μB/cell



# 11
Material: La5Hg2Ru
Method: DFT, PBE
State: optimized geometry

abc: 4.9154 8.3294 12.1114
angles: 90.00 90.00 90.00
With the nearest neighbours (Å) after each atom.
Sites, in units of the cell vectors:
La (0.0000, 0.6381, 0.6996)  1 Ru 2.68
La (0.0000, 0.8619, 0.1996)  1 Ru 2.68
La (0.5000, 0.1837, 0.0732)  2 Ru 3.03, 1 Hg 3.28
La (0.0000, 0.5000, 0.0000)  4 Hg 3.24
La (0.0000, 0.1381, 0.8004)  1 Ru 2.68
La (0.5000, 0.8163, 0.9268)  2 Ru 3.03, 1 Hg 3.28
La (0.0000, 0.3619, 0.3004)  1 Ru 2.68
La (0.5000, 0.6837, 0.4268)  2 Ru 3.03, 1 Hg 3.28
La (0.0000, 0.0000, 0.5000)  4 Hg 3.24
La (0.5000, 0.3163, 0.5732)  2 Ru 3.03, 1 Hg 3.28
Hg (0.5000, 0.4244, 0.8335)  9 La 3.24-3.53
Hg (0.5000, 0.5756, 0.1665)  9 La 3.24-3.53
Hg (0.5000, 0.9244, 0.6665)  9 La 3.24-3.53
Hg (0.5000, 0.0756, 0.3335)  9 La 3.24-3.53
Ru (0.0000, 0.0000, 0.0000)  2 La 2.68
Ru (0.0000, 0.5000, 0.5000)  2 La 2.68

Properties
polymorph energy (0 for the lowest one) = 0 meV/atom
total energy = -75.21 eV per cell
D(E_F) = 21.282 states/eV/cell
size of the total moment = 0.00 μB/cell



# 12
Material: K2Ga4AgGe3
Method: DFT, PBE
State: optimized geometry

abc: 4.5954 4.5954 10.8464
angles: 90.00 90.00 90.00
With the nearest neighbours (Å) after each atom.
Sites, in units of the cell vectors:
Ga (0.0000, 0.0000, 0.0000)  4 Ge 2.68
Ga (0.5000, 0.5000, 0.0000)  4 Ge 2.68
Ga (0.5000, 0.0000, 0.6315)  3 Ge 2.62-2.70, 2 Ag 2.70
Ga (0.0000, 0.5000, 0.3685)  3 Ge 2.62-2.70, 2 Ag 2.70
Ge (0.0000, 0.0000, 0.5000)  4 Ga 2.70
Ge (0.5000, 0.0000, 0.8726)  5 Ga 2.62-2.68
Ge (0.0000, 0.5000, 0.1274)  5 Ga 2.62-2.68
K (0.0000, 0.5000, 0.7528)  6 Ge 3.50-3.58, 8 Ga 3.51-3.53, 2 Ag 3.58
K (0.5000, 0.0000, 0.2472)  6 Ge 3.50-3.58, 8 Ga 3.51-3.53, 2 Ag 3.58
Ag (0.5000, 0.5000, 0.5000)  4 Ga 2.70

Properties
total energy = -32.11 eV per cell
D(E_F) = 3.957 states/eV/cell
size of the total moment = 0.00 μB/cell